{
  "formula": "BaIO2",
  "functional": "GGA-PBEsol",
  "state": "relaxed",
  "raw_formation_energy_mev_per_atom": -991.8,
  "e_above_lowest_polymorph_mev_per_atom": 0,
  "lattice_angstrom": [[-3.2182, 0.5605, 3.7533], [-3.6959, -1.5794, -2.9332], [4.6868, -6.1819, 1.6436]],
  "species": ["O", "O", "O", "O", "I", "I", "Ba", "Ba"],
  "fractional_positions": [[0.4370, 0.8750, 0.2500], [0.1250, 0.1870, 0.7500], [0.8130, 0.3750, 0.2500], [0.6250, 0.5630, 0.7500], [0.5000, 0.5000, 0.0000], [0.7500, 0.2500, 0.5000], [0.0000, 0.0000, 0.0000], [0.2500, 0.7500, 0.5000]]
}